# Th3Al4Os4 PBE relaxed
data_Th3Al4Os4
_chemical_formula_sum 'Th3 Al4 Os4'
_symmetry_space_group_name_H-M 'P 1'
_symmetry_Int_Tables_number 1
_cell_length_a 4.302
_cell_length_b 7.253
_cell_length_c 8.177
_cell_angle_alpha 116.33
_cell_angle_beta 105.25
_cell_angle_gamma 90.00
loop_
_symmetry_equiv_pos_as_xyz
'x,y,z'
loop_
_atom_site_label
_atom_site_fract_x
_atom_site_fract_y
_atom_site_fract_z
_atom_site_occupancy
Th1 0.130 0.130 0.261 1
Th2 0.870 0.870 0.739 1
Th3 0.000 0.500 0.000 1
Al1 0.328 0.137 0.656 1
Al2 0.672 0.481 0.344 1
Al3 0.672 0.863 0.344 1
Al4 0.328 0.519 0.656 1
Os1 0.215 0.715 0.429 1
Os2 0.785 0.285 0.571 1
Os3 0.500 0.831 0.000 1
Os4 0.500 0.169 0.000 1
# E_form (eV/atom): -0.423
# Excess energy over the best structure of this formula in the dataset (meV per atom): 0
# Density of states at the Fermi level (states/eV/f.u.): 6.77